Below is a relaxed structure of CoPdSO, with properties calculated at the PBE+U level.

a = 3.447 Å, b = 3.447 Å, c = 9.210 Å
α = 90.00°, β = 90.00°, γ = 90.00°
Element x y z (fractional)
O (0.750, 0.250, 0.500)
O (0.250, 0.750, 0.500)
S (0.250, 0.250, 0.112)
S (0.750, 0.750, 0.888)
Pd (0.250, 0.250, 0.360)
Pd (0.750, 0.750, 0.640)
Co (0.750, 0.750, 0.170)
Co (0.250, 0.250, 0.830)

For the polymorph energy (0 for the lowest one), the calculation gives 649.7 meV per atom. The calculation puts the total energy at -4.6098 eV per atom. The value obtained for the total magnetic moment is 0.5568 μB/atom.